First-principles (GGA-PBE) data for a relaxed structure of TmPuTcRh, as listed in Alexandria via LeMat-Bulk.

Computed properties:
Total moment (μB per cell): 4.04
E (eV/atom): -9.4673
Energy of formation from the pure elements (eV per formula unit): -1.35
Symmetry: F-43m, No. 216

Lattice parameters (Å, degrees): 4.7805 4.7805 4.7805 60.00 60.00 60.00
Each line ends with the local moment (μB).
Fractional coordinates of all 4 atoms:
Pu 0.2500 0.2500 0.2500  4.81
Tc 0.5000 0.5000 0.5000  -0.68
Tm 0.7500 0.7500 0.7500  0.03
Rh 0.0000 0.0000 0.0000  -0.24